First-principles (GGA-PBEsol) data for a geometry-optimized La2YNi2 structure, as listed in the Alexandria database.

Its total moment is 0.0 μB/cell. The relative energy among the computed polymorphs is 7.926 kcal/mol of atoms. As for the energy of formation: 2.6 kcal/mol of atoms.

The space group is I4/mmm (No. 139) and the conventional cell measures 4.9105, 4.9105 and 10.1116 Å, with angles of 90.00, 90.00 and 90.00 degrees. The distinct sites, in fractional coordinates, are La at (0.0000, 0.0000, 0.1486), Y at (0.0000, 0.0000, 0.5000) and Ni at (0.0000, 0.5000, 0.2500).

---

First-principles (GGA-PBEsol) data for a geometry-optimized Cd5Cu3 structure, as listed in the Alexandria database.

Its total moment is 0.0 μB/cell. The relative energy among the computed polymorphs is 0.313 kcal/mol of atoms. As for the energy of formation: 1.4 kcal/mol of atoms.

The space group is I4/mcm (No. 140) and the conventional cell measures 10.2184, 10.2184 and 5.1470 Å, with angles of 90.00, 90.00 and 90.00 degrees. The distinct sites, in fractional coordinates, are Cd at (0.0000, 0.5000, 0.2500), Cd at (0.0773, 0.2216, 0.0000), Cu at (0.0000, 0.0000, 0.2500) and Cu at (0.1687, 0.3313, 0.5000).

---

First-principles (GGA-PBEsol) data for a geometry-optimized AsOsS2 structure, as listed in the Alexandria database.

Its total moment is 0.0 μB/cell. As for the uncorrected formation energy: 2.1 eV/f.u.

The space group is R-3m (No. 166, hexagonal axes) and the conventional cell measures 2.8839, 2.8839 and 26.3028 Å, with angles of 90.00, 90.00 and 120.00 degrees. The distinct sites, in fractional coordinates, are As at (0.0000, 0.0000, 0.0000), Os at (0.0000, 0.0000, 0.5000) and S at (0.0000, 0.0000, 0.4161).

---

First-principles (GGA-PBEsol) data for a geometry-optimized BeMo2Rh structure, as listed in the Alexandria database.

Its total moment is 0.0 μB/cell. As for the energy of formation: 1.3 kcal/mol of atoms.

The space group is Cm (No. 8) and the conventional cell measures 8.6544, 2.6449 and 4.7540 Å, with angles of 90.00, 97.02 and 90.00 degrees. The distinct sites, in fractional coordinates, are Be at (0.0000, 0.0000, 0.0000), Mo at (0.2516, 0.0000, 0.7723), Mo at (0.4859, 0.0000, 0.4955) and Rh at (0.2374, 0.5000, 0.2376).

---

| no. | D(E_F) (states/eV/cell) | density (kg/m³) |
| --- | --- | --- |
| 1 | 8.08 | 6594 |
| 2 | 5.71 | 9303 |
| 3 | 8.39 | 8659 |
| 4 | 4.64 | 9342 |